Below is a geometry-optimized La4Br structure, with properties calculated at the PBE-GGA level.

Computed properties:
ρ	6.1	g cm⁻³
V	34.43	A^3/atom
space group	I4/m, No. 87
crystal system	tetragonal
uncorrected formation energy	-346.1	meV per atom

```
La4Br
1.0
9.686 0.000 0.000
0.000 9.686 0.000
0.000 0.000 3.669
La Br
8 2
Cartesian
0.769 2.672 0.000
2.171 5.612 1.835
2.672 8.917 0.000
4.074 2.171 1.835
5.612 7.515 1.835
7.014 0.769 0.000
7.515 4.074 1.835
8.917 7.014 0.000
0.000 0.000 1.835
4.843 4.843 0.000
```